! Pr4YTm8 | Alexandria | PBE-GGA | optimized geometry; values from VASP
&SYSTEM
  ibrav = 0, nat = 13, ntyp = 3
/
ATOMIC_SPECIES
Pr 140.91 Pr.upf
Y 88.91 Y.upf
Tm 168.93 Tm.upf
ATOMIC_POSITIONS crystal
Pr 0.000 0.000 0.000
Pr 0.000 0.500 0.000
Pr 0.500 0.500 0.000
Pr 0.500 0.000 0.000
Y 0.000 0.500 0.500
Tm 0.520 0.760 0.280
Tm 0.480 0.240 0.720
Tm 0.480 0.240 0.239
Tm 0.001 0.241 0.761
Tm 0.520 0.760 0.761
Tm 0.001 0.760 0.761
Tm 0.999 0.240 0.239
Tm 0.999 0.759 0.239
CELL_PARAMETERS angstrom
-9.706 1.127 5.094
6.721 -8.297 2.723
6.166 4.605 -1.188
! Density of states at the Fermi level: 22.1 states/eV/cell
! Energy of formation: 0.529 eV per atom

! Sr4GeP4 | Alexandria | PBE-GGA | optimized geometry; values from VASP
&SYSTEM
  ibrav = 0, nat = 18, ntyp = 3
/
ATOMIC_SPECIES
Sr 87.62 Sr.upf
Ge 72.64 Ge.upf
P 30.97 P.upf
ATOMIC_POSITIONS crystal
Sr 0.319 0.268 0.000
Sr 0.819 0.500 0.768
Sr 0.319 0.732 0.000
Sr 0.181 0.232 0.500
Sr 0.681 0.000 0.732
Sr 0.181 0.768 0.500
Sr 0.819 0.500 0.232
Sr 0.681 0.000 0.268
Ge 0.000 0.000 0.000
Ge 0.500 0.500 0.500
P 0.704 0.727 0.500
P 0.704 0.273 0.500
P 0.204 0.000 0.773
P 0.796 0.227 0.000
P 0.796 0.773 0.000
P 0.296 0.500 0.273
P 0.296 0.500 0.727
P 0.204 0.000 0.227
CELL_PARAMETERS angstrom
-3.799 -4.646 -2.421
3.248 -5.691 5.824
-6.311 2.204 5.673
! Density of states at the Fermi level: 0.2 states/eV/cell
! Relative energy among the computed polymorphs: 29 meV/atom
! Energy of formation: -0.933 eV per atom

! FeTeRu2 | Alexandria | PBE-GGA | optimized geometry; values from VASP
&SYSTEM
  ibrav = 0, nat = 4, ntyp = 3
/
ATOMIC_SPECIES
Fe 55.84 Fe.upf
Ru 101.07 Ru.upf
Te 127.60 Te.upf
ATOMIC_POSITIONS crystal
Fe 0.750 0.250 0.500
Ru 0.000 0.000 0.000
Ru 0.250 0.750 0.500
Te 0.500 0.500 0.000
CELL_PARAMETERS angstrom
4.714 0.006 0.000
1.455 4.483 0.000
-3.084 -2.245 2.769
! Density of states at the Fermi level: 3.5 states/eV/cell
! Raw formation energy: 0.38 eV per atom

! Pm2TmGe3Ir4 | Alexandria | PBE-GGA | optimized geometry; values from VASP
&SYSTEM
  ibrav = 0, nat = 10, ntyp = 4
/
ATOMIC_SPECIES
Pm 145.00 Pm.upf
Tm 168.93 Tm.upf
Ge 72.64 Ge.upf
Ir 192.22 Ir.upf
ATOMIC_POSITIONS crystal
Pm 0.500 0.000 0.231
Pm 0.000 0.500 0.769
Tm 0.500 0.500 0.500
Ge 0.000 0.000 0.500
Ge 0.500 0.000 0.877
Ge 0.000 0.500 0.123
Ir 0.500 0.500 0.000
Ir 0.000 0.000 0.000
Ir 0.500 0.000 0.657
Ir 0.000 0.500 0.343
CELL_PARAMETERS angstrom
4.182 0.000 0.000
0.000 4.182 0.000
0.000 0.000 11.207
! Density of states at the Fermi level: 5.1 states/eV/cell
! Energy of formation: -0.808 eV per atom

Number 1: magnetization 2.4 μB/cell. Number 2: magnetization 0.0 μB/cell. Number 3: magnetization 0.5 μB/cell. Number 4: magnetization 0.0 μB/cell.